Record 1
Here is TlAg2TeAu after structural relaxation from Alexandria via LeMat-Bulk. Energies are from PBE-GGA.

Summary:
* calculated total energy: -2.025 eV per atom
* density of states at the Fermi level: 2.80 states/eV/cell
* magnetic moment: 0.000 μB per cell

```
data_TlAg2TeAu
_cell_length_a 5.225
_cell_length_b 5.225
_cell_length_c 5.920
_cell_angle_alpha 90.00
_cell_angle_beta 90.00
_cell_angle_gamma 90.00
_symmetry_space_group_name_H-M 'P 4/m m m'
_symmetry_Int_Tables_number 123
_symmetry_space_group_name_Hall '-P 4 2'
loop_
_atom_site_label
_atom_site_fract_x
_atom_site_fract_y
_atom_site_fract_z
_atom_site_occupancy
Tl1 0.000 0.000 0.000 1
Ag1 0.000 0.500 0.000 1
Te1 0.000 0.000 0.500 1
Au1 0.500 0.500 0.500 1
```

Record 2
Here is Tm2Ag2Au after structural relaxation from Alexandria via LeMat-Bulk. Energies are from PBE-GGA.

Summary:
* distance to the lowest polymorph of the same formula: 11.52 kJ/mol of atoms
* calculated total energy: -3.900 eV per atom
* density of states at the Fermi level: 10.57 states/eV/cell
* formation energy from the elements: -0.31 eV per atom
* magnetic moment: 0.000 μB per cell

```
data_Tm2Ag2Au
_cell_length_a 6.578
_cell_length_b 12.718
_cell_length_c 5.495
_cell_angle_alpha 90.00
_cell_angle_beta 90.00
_cell_angle_gamma 90.00
_symmetry_space_group_name_H-M 'I b a m'
_symmetry_Int_Tables_number 72
_symmetry_space_group_name_Hall '-I 2 2c'
loop_
_atom_site_label
_atom_site_fract_x
_atom_site_fract_y
_atom_site_fract_z
_atom_site_occupancy
Tm1 0.211 0.169 0.000 1
Ag1 0.136 0.408 0.000 1
Au1 0.000 0.000 0.250 1
```

Record 3
Here is MnTlPtSe after structural relaxation from Alexandria via LeMat-Bulk. Energies are from PBE-GGA.

Summary:
* distance to the lowest polymorph of the same formula: 0.18 kJ/mol of atoms
* calculated total energy: -5.423 eV per atom
* density of states at the Fermi level: 4.44 states/eV/cell
* magnetic moment: 9.657 μB per cell

```
data_MnTlPtSe
_cell_length_a 3.5188
_cell_length_b 3.5188
_cell_length_c 24.6309
_cell_angle_alpha 90.00
_cell_angle_beta 90.00
_cell_angle_gamma 120.00
_symmetry_space_group_name_H-M 'R 3 m'
_symmetry_Int_Tables_number 160
_symmetry_space_group_name_Hall 'R 3 -2"'
loop_
_atom_site_label
_atom_site_fract_x
_atom_site_fract_y
_atom_site_fract_z
_atom_site_occupancy
Mn1 0.0000 0.0000 0.0000 1
Tl1 0.0000 0.0000 0.1482 1
Pt1 0.0000 0.0000 0.7294 1
Se1 0.0000 0.0000 0.2767 1
```

Record 4
Here is Pm3BeN after structural relaxation from Alexandria via LeMat-Bulk. Energies are from PBE-GGA.

Summary:
* calculated total energy: -5.664 eV per atom
* density of states at the Fermi level: 5.09 states/eV/cell
* magnetic moment: 0.000 μB per cell

```
data_Pm3BeN
_cell_length_a 4.910
_cell_length_b 4.910
_cell_length_c 4.910
_cell_angle_alpha 90.00
_cell_angle_beta 90.00
_cell_angle_gamma 90.00
_symmetry_space_group_name_H-M 'P m -3 m'
_symmetry_Int_Tables_number 221
_symmetry_space_group_name_Hall '-P 4 2 3'
loop_
_atom_site_label
_atom_site_fract_x
_atom_site_fract_y
_atom_site_fract_z
_atom_site_occupancy
Pm1 0.000 0.000 0.500 1
Be1 0.500 0.500 0.500 1
N1 0.000 0.000 0.000 1
```

Record 5
Here is Li4CaAl4 after structural relaxation from Alexandria via LeMat-Bulk. Energies are from PBE-GGA.

Summary:
* calculated total energy: -2.807 eV per atom
* density of states at the Fermi level: 6.72 states/eV/cell
* formation energy from the elements: -0.07 eV per atom
* magnetic moment: 0.000 μB per cell

```
data_Li4CaAl4
_cell_length_a 8.926
_cell_length_b 8.926
_cell_length_c 4.570
_cell_angle_alpha 90.00
_cell_angle_beta 90.00
_cell_angle_gamma 90.00
_symmetry_space_group_name_H-M 'I 4/m'
_symmetry_Int_Tables_number 87
_symmetry_space_group_name_Hall '-I 4'
loop_
_atom_site_label
_atom_site_fract_x
_atom_site_fract_y
_atom_site_fract_z
_atom_site_occupancy
Li1 0.152 0.233 0.000 1
Ca1 0.000 0.000 0.500 1
Al1 0.061 0.368 0.500 1
```

Record 6
Here is Ba6AgAu after structural relaxation from Alexandria via LeMat-Bulk. Energies are from PBE-GGA.

Summary:
* calculated total energy: -2.458 eV per atom
* density of states at the Fermi level: 12.60 states/eV/cell
* formation energy from the elements: -0.25 eV per atom
* magnetic moment: 0.001 μB per cell

```
data_Ba6AgAu
_cell_length_a 8.0726
_cell_length_b 8.0726
_cell_length_c 15.4965
_cell_angle_alpha 90.00
_cell_angle_beta 90.00
_cell_angle_gamma 120.00
_symmetry_space_group_name_H-M 'P -3 1 c'
_symmetry_Int_Tables_number 163
_symmetry_space_group_name_Hall '-P 3 2c'
loop_
_atom_site_label
_atom_site_fract_x
_atom_site_fract_y
_atom_site_fract_z
_atom_site_occupancy
Ba1 0.0038 0.3327 0.1237 1
Ag1 0.3333 0.6667 0.7500 1
Au1 0.0000 0.0000 0.0000 1
```

Record 7
Here is Pr2Tm3Sc after structural relaxation from Alexandria via LeMat-Bulk. Energies are from PBE-GGA.

Summary:
* distance to the lowest polymorph of the same formula: 0.00 kJ/mol of atoms
* calculated total energy: -4.841 eV per atom
* density of states at the Fermi level: 34.84 states/eV/cell
* formation energy from the elements: 0.04 eV per atom
* magnetic moment: 0.000 μB per cell

```
data_Pr2Tm3Sc
_cell_length_a 14.968
_cell_length_b 4.971
_cell_length_c 11.178
_cell_angle_alpha 90.00
_cell_angle_beta 116.48
_cell_angle_gamma 90.00
_symmetry_space_group_name_H-M 'C 1 2/m 1'
_symmetry_Int_Tables_number 12
_symmetry_space_group_name_Hall '-C 2y'
loop_
_atom_site_label
_atom_site_fract_x
_atom_site_fract_y
_atom_site_fract_z
_atom_site_occupancy
Pr1 0.037 0.000 0.374 1
Pr2 0.211 0.500 0.372 1
Tm1 0.045 0.500 0.880 1
Tm2 0.126 0.000 0.122 1
Tm3 0.208 0.000 0.875 1
Sc1 0.125 0.500 0.628 1
```